# Ta2AlPt2, relaxed, DFT PBE
# ΔE_f = -0.451 eV/atom
data_Ta2AlPt2
_space_group_name_H-M_alt 'P 4/m b m'
_space_group_IT_number 127
_space_group_name_Hall '-P 4 2ab'
_cell_length_a 6.8447
_cell_length_b 6.8447
_cell_length_c 3.7106
_cell_angle_alpha 90.00
_cell_angle_beta 90.00
_cell_angle_gamma 90.00
loop_
_atom_site_label
_atom_site_fract_x
_atom_site_fract_y
_atom_site_fract_z
Ta1 0.1703 0.3297 0.0000
Al1 0.0000 0.0000 0.5000
Pt1 0.1386 0.6386 0.5000

***

# TbCdNi, relaxed, DFT PBE
# ΔE_f = -0.228 eV/atom
data_TbCdNi
_space_group_name_H-M_alt 'F -4 3 m'
_space_group_IT_number 216
_space_group_name_Hall 'F -4 2 3'
_cell_length_a 6.4664
_cell_length_b 6.4664
_cell_length_c 6.4664
_cell_angle_alpha 90.00
_cell_angle_beta 90.00
_cell_angle_gamma 90.00
loop_
_atom_site_label
_atom_site_fract_x
_atom_site_fract_y
_atom_site_fract_z
Tb1 0.0000 0.0000 0.0000
Cd1 0.0000 0.0000 0.5000
Ni1 0.2500 0.2500 0.2500

***

# KPI, relaxed, DFT PBE
# uncorrected formation energy = -0.619 eV per atom
data_KPI
_space_group_name_H-M_alt 'C 1 2/m 1'
_space_group_IT_number 12
_space_group_name_Hall '-C 2y'
_cell_length_a 12.4834
_cell_length_b 4.6761
_cell_length_c 11.0066
_cell_angle_alpha 90.00
_cell_angle_beta 123.70
_cell_angle_gamma 90.00
loop_
_atom_site_label
_atom_site_fract_x
_atom_site_fract_y
_atom_site_fract_z
K1 0.0328 0.0000 0.3475
P1 0.0429 0.5000 0.1040
I1 0.1924 0.5000 0.6619

***

# Rb3Fe5Cl12, relaxed, DFT PBE
# uncorrected formation energy = -1.008 eV per atom
data_Rb3Fe5Cl12
_space_group_name_H-M_alt 'I a -3 d'
_space_group_IT_number 230
_space_group_name_Hall '-I 4bd 2c 3'
_cell_length_a 16.2077
_cell_length_b 16.2077
_cell_length_c 16.2077
_cell_angle_alpha 90.00
_cell_angle_beta 90.00
_cell_angle_gamma 90.00
loop_
_atom_site_label
_atom_site_fract_x
_atom_site_fract_y
_atom_site_fract_z
Rb1 0.0000 0.2500 0.1250
Fe1 0.0000 0.0000 0.0000
Fe2 0.0000 0.2500 0.3750
Cl1 0.0385 0.0456 0.6442

***

# NaSiP, relaxed, DFT PBE
# uncorrected formation energy = -0.250 eV per atom
data_NaSiP
_space_group_name_H-M_alt 'R 3 m'
_space_group_IT_number 160
_space_group_name_Hall 'R 3 -2"'
_cell_length_a 3.5326
_cell_length_b 3.5326
_cell_length_c 17.5011
_cell_angle_alpha 90.00
_cell_angle_beta 90.00
_cell_angle_gamma 120.00
loop_
_atom_site_label
_atom_site_fract_x
_atom_site_fract_y
_atom_site_fract_z
Na1 0.0000 0.0000 0.0000
Si1 0.0000 0.0000 0.5284
P1 0.0000 0.0000 0.7981

***

# Ba2CuAgH, relaxed, DFT PBE
# ΔE to the lowest computed polymorph = 43 meV/atom
data_Ba2CuAgH
_space_group_name_H-M_alt 'P 4/m m m'
_space_group_IT_number 123
_space_group_name_Hall '-P 4 2'
_cell_length_a 5.7155
_cell_length_b 5.7155
_cell_length_c 4.0942
_cell_angle_alpha 90.00
_cell_angle_beta 90.00
_cell_angle_gamma 90.00
loop_
_atom_site_label
_atom_site_fract_x
_atom_site_fract_y
_atom_site_fract_z
Ba1 0.0000 0.5000 0.0000
Cu1 0.0000 0.0000 0.5000
Ag1 0.5000 0.5000 0.5000
H1 0.5000 0.5000 0.0000

***

# ThCuSe3, relaxed, DFT PBE
# uncorrected formation energy = -0.983 eV per atom
data_ThCuSe3
_space_group_name_H-M_alt 'P m c 21'
_space_group_IT_number 26
_space_group_name_Hall 'P 2c -2'
_cell_length_a 4.1441
_cell_length_b 7.6385
_cell_length_c 8.0868
_cell_angle_alpha 90.00
_cell_angle_beta 90.00
_cell_angle_gamma 90.00
loop_
_atom_site_label
_atom_site_fract_x
_atom_site_fract_y
_atom_site_fract_z
Th1 0.0000 0.1108 0.0000
Cu1 0.5000 0.3146 0.5065
Se1 0.0000 0.2471 0.6481
Se2 0.5000 0.0897 0.2929
Se3 0.5000 0.3776 0.9732

***

# Zr2CuCl, relaxed, DFT PBE
# ΔE to the lowest computed polymorph = 81 meV/atom
# uncorrected formation energy = -0.311 eV per atom
data_Zr2CuCl
_space_group_name_H-M_alt 'R -3 m'
_space_group_IT_number 166
_space_group_name_Hall '-R 3 2"'
_cell_length_a 3.8537
_cell_length_b 3.8537
_cell_length_c 18.1343
_cell_angle_alpha 90.00
_cell_angle_beta 90.00
_cell_angle_gamma 120.00
loop_
_atom_site_label
_atom_site_fract_x
_atom_site_fract_y
_atom_site_fract_z
Zr1 0.0000 0.0000 0.2413
Cu1 0.0000 0.0000 0.5000
Cl1 0.0000 0.0000 0.0000

***

# Ho3Zn8Ag3, relaxed, DFT PBE
# ΔE_f = -0.291 eV/atom
data_Ho3Zn8Ag3
_space_group_name_H-M_alt 'I m m m'
_space_group_IT_number 71
_space_group_name_Hall '-I 2 2'
_cell_length_a 4.3765
_cell_length_b 8.9729
_cell_length_c 13.2388
_cell_angle_alpha 90.00
_cell_angle_beta 90.00
_cell_angle_gamma 90.00
loop_
_atom_site_label
_atom_site_fract_x
_atom_site_fract_y
_atom_site_fract_z
Ho1 0.0000 0.0000 0.0000
Ho2 0.0000 0.0000 0.3011
Zn1 0.0000 0.2766 0.1377
Zn2 0.0000 0.3623 0.3297
Ag1 0.0000 0.2093 0.5000
Ag2 0.0000 0.5000 0.0000

***

# Hg3HN, relaxed, DFT PBE
# ΔE to the lowest computed polymorph = 0 meV/atom
data_Hg3HN
_space_group_name_H-M_alt 'P m -3 m'
_space_group_IT_number 221
_space_group_name_Hall '-P 4 2 3'
_cell_length_a 4.7513
_cell_length_b 4.7513
_cell_length_c 4.7513
_cell_angle_alpha 90.00
_cell_angle_beta 90.00
_cell_angle_gamma 90.00
loop_
_atom_site_label
_atom_site_fract_x
_atom_site_fract_y
_atom_site_fract_z
Hg1 0.0000 0.0000 0.5000
H1 0.5000 0.5000 0.5000
N1 0.0000 0.0000 0.0000

***

# ThSbAuN, relaxed, DFT PBE
# uncorrected formation energy = -0.836 eV per atom
data_ThSbAuN
_space_group_name_H-M_alt 'P 4/n m m'
_space_group_IT_number 129
_cell_length_a 4.2631
_cell_length_b 4.2631
_cell_length_c 9.8235
_cell_angle_alpha 90.00
_cell_angle_beta 90.00
_cell_angle_gamma 90.00
loop_
_space_group_symop_operation_xyz
'x,y,z'
'-x,-y,-z'
'-y+1/2,x,z'
'y+1/2,-x,-z'
'-x+1/2,-y+1/2,z'
'x+1/2,y+1/2,-z'
'y,-x+1/2,z'
'-y,x+1/2,-z'
'x+1/2,-y,-z'
'-x+1/2,y,z'
'-y,-x,-z'
'y,x,z'
'-x,y+1/2,-z'
'x,-y+1/2,z'
'y+1/2,x+1/2,-z'
'-y+1/2,-x+1/2,z'
loop_
_atom_site_label
_atom_site_fract_x
_atom_site_fract_y
_atom_site_fract_z
Th1 0.2500 0.2500 0.1082
Sb1 0.2500 0.7500 0.5000
Au1 0.2500 0.2500 0.7204
N1 0.2500 0.7500 0.0000

***

DFT (PBE) results for crystalline AlSnH6Os2 at its relaxed geometry.

```
data_AlSnH6Os2
_space_group_name_H-M_alt 'C 1 2/c 1'
_space_group_IT_number 15
_space_group_name_Hall '-C 2yc'
_cell_length_a 6.7749
_cell_length_b 8.3528
_cell_length_c 7.2088
_cell_angle_alpha 90.00
_cell_angle_beta 104.74
_cell_angle_gamma 90.00
loop_
_atom_site_label
_atom_site_fract_x
_atom_site_fract_y
_atom_site_fract_z
Al1 0.0000 0.1718 0.2500
Sn1 0.0000 0.4379 0.7500
H1 0.0613 0.1073 0.6452
H2 0.2097 0.0470 0.4025
H3 0.2348 0.3219 0.3570
Os1 0.2312 0.1507 0.8581
```

***

| no. | E_tot (eV per formula unit) | mass density (Mg/m³) |
| --- | --- | --- |
| 1 | -41.79 | 14.88 |
| 2 | -12.01 | 8.11 |
| 3 | -9.91 | 2.45 |
| 4 | -87.53 | 3.00 |
| 5 | -12.90 | 2.16 |
| 6 | -14.60 | 5.55 |
| 7 | -26.88 | 6.91 |
| 8 | -24.28 | 6.01 |
| 9 | -36.55 | 8.57 |
| 10 | -7.31 | 9.55 |
| 11 | -26.49 | 10.51 |
| 12 | -48.00 | 8.96 |